A plane-wave DFT calculation with PBE was carried out for CsCdHg6 after structural relaxation.

## Properties
The space-group type is Pm-3 (200). The calculation puts the energy relative to the lowest polymorph listed for this composition at 0.056 eV/atom. The formation energy is -0.057 eV per atom. The density of states at the Fermi level is 3.863 states/eV per cell.

Cell: 6.4708 6.4708 6.4708 Å, 90.00 90.00 90.00°
Fractional positions:
1 Cs 0.0000 0.0000 0.0000
2 Cd 0.5000 0.5000 0.5000
3 Hg 0.0000 0.2659 0.5000
4 Hg 0.0000 0.7341 0.5000
5 Hg 0.2659 0.5000 0.0000
6 Hg 0.5000 0.0000 0.2659
7 Hg 0.5000 0.0000 0.7341
8 Hg 0.7341 0.5000 0.0000